Entry 1:
DFT (GGA-PBE) results for a geometry-optimized K2ScAg2 structure.

Calculated values
Space group: P4/mbm (127)

Cell lengths 7.482, 7.482, 5.626 Å; angles 90.00, 90.00, 90.00 degrees
Sites, in units of the cell vectors:
K  0.171  0.671  0.500
Ag  0.867  0.633  0.000
Ag  0.633  0.133  0.000
Ag  0.133  0.367  0.000
K  0.329  0.171  0.500
Ag  0.367  0.867  0.000
K  0.829  0.329  0.500
Sc  0.500  0.500  0.000
Sc  0.000  0.000  0.000
K  0.671  0.829  0.500

***

Entry 2:
DFT (GGA-PBE) results for a geometry-optimized AlFe3Pt structure.

Calculated values
Space group: Pm-3m (221)

Cell lengths 4.683, 4.683, 4.683 Å; angles 90.00, 90.00, 90.00 degrees
Sites, in units of the cell vectors:
Fe  0.000  0.500  0.000
Fe  0.000  0.000  0.500
Al  0.500  0.500  0.500
Fe  0.500  0.000  0.000
Pt  0.000  0.000  0.000

***

Number 1: energy relative to the elements 0.252 eV per atom. Number 2: energy relative to the elements 1.047 eV per atom.